one) DFT (PBE-GGA) results for an optimized crystal structure of SrMgSbI2.

The calculated volume comes out at 52.914 Å³/atom. As for the total magnetic moment: 1.592 μB per formula unit. Its density of states at the Fermi level is 2.39 states/eV/cell.

The structure belongs to space group P4/mmm (No. 123); the cell edges are 6.268, 6.268 and 6.734 Å and the angles 90.00°, 90.00° and 90.00°. The distinct sites, in fractional coordinates, are Sr at (0.000, 0.000, 0.000), Mg at (0.500, 0.500, 0.500), Sb at (0.000, 0.000, 0.500) and I at (0.000, 0.500, 0.000).

=====

two) DFT (PBE-GGA) results for an optimized crystal structure of SrMgSbI2.

The calculated volume comes out at 37.092 Å³/atom. As for the total magnetic moment: 0.724 μB per formula unit. Its density of states at the Fermi level is 4.43 states/eV/cell.

The structure belongs to space group P4/mmm (No. 123); the cell edges are 5.709, 5.709 and 5.690 Å and the angles 90.00°, 90.00° and 90.00°. The distinct sites, in fractional coordinates, are Sr at (0.000, 0.000, 0.000), Mg at (0.500, 0.500, 0.500), Sb at (0.500, 0.500, 0.000) and I at (0.000, 0.500, 0.500).

=====

Which structure is the most stable? The one labeled two).

=====

one) DFT (PBE-GGA) results for an optimized crystal structure of MgTaSb2I.

The calculated volume comes out at 33.158 Å³/atom. As for the total magnetic moment: 0.000 μB per formula unit. Its density of states at the Fermi level is 2.67 states/eV/cell.

The structure belongs to space group P4/mmm (No. 123); the cell edges are 5.347, 5.347 and 5.798 Å and the angles 90.00°, 90.00° and 90.00°. The distinct sites, in fractional coordinates, are Mg at (0.000, 0.000, 0.000), Ta at (0.500, 0.500, 0.500), Sb at (0.000, 0.500, 0.500) and I at (0.500, 0.500, 0.000).

=====

two) DFT (PBE-GGA) results for an optimized crystal structure of MgTaSb2I.

The calculated volume comes out at 29.686 Å³/atom. As for the total magnetic moment: 0.001 μB per formula unit. Its density of states at the Fermi level is 8.74 states/eV/cell.

The structure belongs to space group P4/mmm (No. 123); the cell edges are 5.267, 5.267 and 5.350 Å and the angles 90.00°, 90.00° and 90.00°. The distinct sites, in fractional coordinates, are Mg at (0.000, 0.000, 0.000), Ta at (0.500, 0.500, 0.500), Sb at (0.000, 0.500, 0.000) and I at (0.000, 0.000, 0.500).

=====

Which structure is the most stable? The one labeled one).